# Th2ReCl

A relaxed Th2ReCl crystal (PBE-GGA, the Alexandria database).

Cell: 4.1838 4.1838 22.8723 Å, 90.00 90.00 120.00°
Space group R-3m (No. 166, hexagonal axes)
Asymmetric unit:
Th (0.0000, 0.0000, 0.2309) [6 per cell]
Re (0.0000, 0.0000, 0.5000) [3 per cell]
Cl (0.0000, 0.0000, 0.0000) [3 per cell]

Summary:
Calculated volume: 28.9 Å³/atom
Formation energy without anion corrections: -0.605 eV/atom
Calculated total energy: -94.7 eV/cell
Crystal system: trigonal